The following is a DFT calculation (PBEsol) of a relaxed Tb5Mg24 crystal.

extended XYZ file:
```
29
Lattice="9.682 0.000 0.000 -3.227 9.128 0.000 -3.227 -4.564 7.905" Properties=species:S:1:pos:R:3 pbc="T T T"
Mg -0.211 5.031 2.561
Mg 3.017 -0.169 4.829
Mg 1.586 -3.086 5.344
Mg 5.290 -1.776 3.077
Mg -3.438 0.467 5.344
Mg -3.438 4.395 3.077
Mg -1.165 2.788 4.829
Mg 4.813 1.479 2.561
Mg 5.290 3.552 0.000
Mg 1.586 6.171 0.000
Mg -0.211 -0.298 5.637
Mg 3.017 4.266 2.268
Mg 4.640 -2.049 6.394
Mg 1.413 4.615 4.972
Mg 2.976 -0.872 1.511
Mg 0.653 -1.694 2.933
Mg -1.815 2.515 1.511
Mg -1.815 0.051 2.933
Mg 3.881 2.870 4.972
Mg -3.479 3.692 6.394
Mg 0.653 3.387 0.000
Mg 2.976 1.745 0.000
Mg 4.640 6.562 1.422
Mg 1.413 1.998 6.483
Tb 0.000 0.000 0.000
Tb -2.021 5.715 0.000
Tb 1.207 1.707 2.956
Tb 6.062 0.000 0.000
Tb -2.021 -2.857 4.949
```

Calculated values
The energy of formation comes out at -43 meV per atom. As for the space group: I-43m, No. 217. As for the density of states at the Fermi level: 20.0 states/eV/f.u. The crystal system is cubic.